Material: Tb3Al2Zn7
Method: DFT, PBE
State: optimized geometry

Cell lengths 4.1855, 4.1855, 27.6983 Å; angles 90.00, 90.00, 90.00 degrees
Space group I4/mmm (No. 139)
One atom of each set of equivalent atoms:
Tb 0.0000 0.0000 0.0000 x2
Tb 0.0000 0.0000 0.1657 x4
Al 0.0000 0.0000 0.3667 x4
Zn 0.0000 0.0000 0.2749 x4
Zn 0.0000 0.0000 0.5000 x2
Zn 0.0000 0.5000 0.0779 x8

Summary:
The calculation puts the formation energy at -0.193 eV/atom.

***

Material: Tb3Al4Zn
Method: DFT, PBE
State: optimized geometry

Cell lengths 5.6750, 10.8227, 5.8612 Å; angles 90.00, 90.00, 90.00 degrees
Space group Pmmn (No. 59, origin choice 2)
One atom of each set of equivalent atoms:
Tb 0.2500 0.0024 0.1726 x4
Tb 0.2500 0.7500 0.5728 x2
Al 0.0075 0.7500 0.0525 x4
Al 0.2500 0.0947 0.6653 x4
Zn 0.2500 0.2500 0.3289 x2

Summary:
The calculation puts the formation energy at -0.367 eV/atom.